## Sc4Ta2Fe3C3 (PBE-GGA)

Data for Sc4Ta2Fe3C3 after structural relaxation.

```
Sc4Ta2Fe3C3
1.0
4.871 -2.757 0.000
4.871 2.757 0.000
-2.971 0.000 13.407
Sc Ta Fe C
8 4 6 6
Cartesian
0.802 0.436 1.264
0.897 0.488 5.421
-0.684 -0.436 7.968
-0.588 -0.488 12.125
7.361 0.488 1.282
7.456 0.436 5.439
5.875 -0.488 7.985
5.970 -0.436 12.142
4.006 0.432 1.221
4.251 0.432 5.482
2.521 -0.432 7.925
2.766 -0.432 12.185
0.653 0.401 10.023
2.643 1.283 10.055
2.138 -0.401 3.320
4.634 0.401 10.087
4.129 -1.283 3.352
6.120 -0.401 3.384
2.436 1.379 0.000
2.638 1.252 6.662
5.619 1.252 0.041
0.950 -1.379 6.703
1.153 -1.252 13.365
4.134 -1.252 6.745
```

Calculated values
Electronic total energy: -8.597 eV per atom
Mass density: 6.87 g cm⁻³